Crystalline BePRu at its relaxed geometry. Source: the Alexandria database, functional GGA-PBE.

Calculated values
Density of states at the Fermi level ... 0.363 states/eV/atom
E_form ... -1.16 eV/f.u.
Polymorph energy (0 for the lowest one) ... 0.0000 eV/atom

abc: 2.930 3.184 7.269
angles: 90.00 90.00 90.00
Space group Imm2 (No. 44)
Asymmetric unit:
1 Be 0.000 0.000 0.000 (multiplicity 2)
2 P 0.000 0.000 0.332 (multiplicity 2)
3 Ru 0.000 0.000 0.671 (multiplicity 2)



Crystalline Be2PRu at its relaxed geometry. Source: the Alexandria database, functional GGA-PBE.

Calculated values
Density of states at the Fermi level ... 0.510 states/eV/atom
E_form ... 0.53 eV/f.u.

abc: 2.7586 2.7586 20.8883
angles: 90.00 90.00 120.00
Space group R-3m (No. 166, hexagonal axes)
Asymmetric unit:
1 Be 0.0000 0.0000 0.2483 (multiplicity 6)
2 P 0.0000 0.0000 0.5000 (multiplicity 3)
3 Ru 0.0000 0.0000 0.0000 (multiplicity 3)



Crystalline Be2PRu2 at its relaxed geometry. Source: the Alexandria database, functional GGA-PBE.

Calculated values
Density of states at the Fermi level ... 0.677 states/eV/atom
E_form ... -0.96 eV/f.u.
Polymorph energy (0 for the lowest one) ... 0.0950 eV/atom

abc: 8.305 2.971 4.659
angles: 90.00 93.86 90.00
Space group C2/m (No. 12)
Asymmetric unit:
1 Be 0.085 0.000 0.179 (multiplicity 4)
2 P 0.000 0.500 0.500 (multiplicity 2)
3 Ru 0.197 0.000 0.739 (multiplicity 4)



Crystalline Be2PRu at its relaxed geometry. Source: the Alexandria database, functional GGA-PBE.

Calculated values
Density of states at the Fermi level ... 0.390 states/eV/atom
E_form ... 1.38 eV/f.u.

abc: 2.773 4.616 7.478
angles: 90.00 90.00 90.00
Space group Cmm2 (No. 35)
Asymmetric unit:
1 Be 0.000 0.000 0.000 (multiplicity 2)
2 Be 0.000 0.500 0.239 (multiplicity 2)
3 P 0.000 0.500 0.750 (multiplicity 2)
4 Ru 0.000 0.000 0.493 (multiplicity 2)



Crystalline Be4PRu at its relaxed geometry. Source: the Alexandria database, functional GGA-PBE.

Calculated values
Density of states at the Fermi level ... 0.198 states/eV/atom
E_form ... -1.25 eV/f.u.

abc: 6.088 6.088 6.088
angles: 90.00 90.00 90.00
Space group F-43m (No. 216)
Asymmetric unit:
1 Be 0.124 0.124 0.124 (multiplicity 16)
2 P 0.000 0.000 0.500 (multiplicity 4)
3 Ru 0.250 0.250 0.750 (multiplicity 4)



Crystalline Be2PRu at its relaxed geometry. Source: the Alexandria database, functional GGA-PBE.

Calculated values
Density of states at the Fermi level ... 0.452 states/eV/atom
E_form ... 0.83 eV/f.u.

abc: 2.940 4.391 7.293
angles: 90.00 90.00 90.00
Space group Cmmm (No. 65)
Asymmetric unit:
1 Be 0.000 0.000 0.238 (multiplicity 4)
2 P 0.000 0.500 0.500 (multiplicity 2)
3 Ru 0.000 0.500 0.000 (multiplicity 2)



Crystalline Be2PRu at its relaxed geometry. Source: the Alexandria database, functional GGA-PBE.

Calculated values
Density of states at the Fermi level ... 0.218 states/eV/atom
E_form ... -0.75 eV/f.u.

abc: 3.608 3.608 3.205
angles: 90.00 90.00 90.00
Space group P4/mmm (No. 123)
Asymmetric unit:
1 Be 0.000 0.500 0.000 (multiplicity 2)
2 P 0.000 0.000 0.500 (multiplicity 1)
3 Ru 0.500 0.500 0.500 (multiplicity 1)



Crystalline Be2PRu at its relaxed geometry. Source: the Alexandria database, functional GGA-PBE.

Calculated values
Density of states at the Fermi level ... 0.286 states/eV/atom
E_form ... 0.19 eV/f.u.

abc: 5.566 5.566 5.566
angles: 90.00 90.00 90.00
Space group F-43m (No. 216)
Asymmetric unit:
1 Be 0.000 0.000 0.000 (multiplicity 4)
2 Be 0.250 0.250 0.250 (multiplicity 4)
3 P 0.250 0.250 0.750 (multiplicity 4)
4 Ru 0.000 0.000 0.500 (multiplicity 4)



Number 1: volume 11.3 Å³/atom, raw total energy -0.23973 hartree per atom, magnetic moment 0.00 μB per formula unit. Number 2: volume 11.5 Å³/atom, raw total energy -0.19852 hartree per atom, magnetic moment 0.00 μB per formula unit. Number 3: volume 11.5 Å³/atom, raw total energy -0.23796 hartree per atom, magnetic moment 0.00 μB per formula unit. Number 4: volume 12.0 Å³/atom, raw total energy -0.19072 hartree per atom, magnetic moment 0.00 μB per formula unit. Number 5: volume 9.4 Å³/atom, raw total energy -0.18892 hartree per atom, magnetic moment 0.00 μB per formula unit. Number 6: volume 11.8 Å³/atom, raw total energy -0.19575 hartree per atom, magnetic moment 0.00 μB per formula unit. Number 7: volume 10.4 Å³/atom, raw total energy -0.21024 hartree per atom, magnetic moment 0.00 μB per formula unit. Number 8: volume 10.8 Å³/atom, raw total energy -0.20160 hartree per atom, magnetic moment 0.00 μB per formula unit.